# 1
Computed, not measured: a crystal of BaV2Ni2O8 relaxed with PBEsol at the SCAN level of DFT.

Unit cell a=4.9587 b=4.9587 c=22.4786 alpha=90.00 beta=90.00 gamma=120.00
Space group R-3 (No. 148, hexagonal axes)
One atom of each set of equivalent atoms:
Ba1 0.0000 0.0000 0.0000 [3 per cell]
V1 0.0000 0.0000 0.4258 [6 per cell]
Ni1 0.0000 0.0000 0.1690 [6 per cell]
O1 0.0000 0.0000 0.3515 [6 per cell]
O2 0.0016 0.6772 0.1152 [18 per cell]

Computed properties:
N(E_F) = 0.00 states/eV per atom
Uncorrected energy = -564.7 eV for the cell shown


# 2
Computed, not measured: a crystal of BaDy2Te4 relaxed with PBEsol at the SCAN level of DFT.

Unit cell a=13.550 b=4.410 c=16.044 alpha=90.00 beta=90.00 gamma=90.00
Space group Pnma (No. 62)
One atom of each set of equivalent atoms:
Ba1 0.238 0.250 0.170 [4 per cell]
Dy1 0.060 0.250 0.391 [4 per cell]
Dy2 0.080 0.250 0.904 [4 per cell]
Te1 0.027 0.750 0.784 [4 per cell]
Te2 0.091 0.250 0.577 [4 per cell]
Te3 0.129 0.750 0.029 [4 per cell]
Te4 0.205 0.750 0.339 [4 per cell]

Computed properties:
Uncorrected energy = -1184.5 eV for the cell shown


# 3
Computed, not measured: a crystal of SbRuPt2 relaxed with PBEsol at the SCAN level of DFT.

Unit cell a=2.9868 b=2.9868 c=25.2547 alpha=90.00 beta=90.00 gamma=120.00
Space group R3m (No. 160, hexagonal axes)
One atom of each set of equivalent atoms:
Sb1 0.0000 0.0000 0.0000 [3 per cell]
Ru1 0.0000 0.0000 0.7463 [3 per cell]
Pt1 0.0000 0.0000 0.2491 [3 per cell]
Pt2 0.0000 0.0000 0.4954 [3 per cell]

Computed properties:
N(E_F) = 1.17 states/eV per atom
Uncorrected energy = -634.1 eV for the cell shown


# 4
Computed, not measured: a crystal of MgAgSeBr2 relaxed with PBEsol at the SCAN level of DFT.

Unit cell a=5.109 b=5.109 c=5.107 alpha=90.00 beta=90.00 gamma=90.00
Space group P4/mmm (No. 123)
One atom of each set of equivalent atoms:
Mg1 0.000 0.000 0.000 [1 per cell]
Ag1 0.500 0.500 0.500 [1 per cell]
Se1 0.000 0.000 0.500 [1 per cell]
Br1 0.000 0.500 0.000 [2 per cell]

Computed properties:
N(E_F) = 0.50 states/eV per atom
Uncorrected energy = -97.3 eV for the cell shown


# 5
Computed, not measured: a crystal of ZrIrW2 relaxed with PBEsol at the SCAN level of DFT.

Unit cell a=3.264 b=3.264 c=6.206 alpha=90.00 beta=90.00 gamma=90.00
Space group P4/mmm (No. 123)
One atom of each set of equivalent atoms:
Zr1 0.000 0.000 0.000 [1 per cell]
Ir1 0.000 0.000 0.500 [1 per cell]
W1 0.500 0.500 0.265 [2 per cell]

Computed properties:
ΔH_f (0 K) = 0.18 eV per atom
N(E_F) = 0.83 states/eV per atom
Offset from the most stable computed form = 0.314 eV per atom


# 6
Computed, not measured: a crystal of NaCd2Pd2 relaxed with PBEsol at the SCAN level of DFT.

Unit cell a=7.956 b=7.956 c=2.939 alpha=90.00 beta=90.00 gamma=90.00
Space group P4/mbm (No. 127)
One atom of each set of equivalent atoms:
Na1 0.000 0.000 0.000 [2 per cell]
Cd1 0.141 0.359 0.000 [4 per cell]
Pd1 0.155 0.655 0.500 [4 per cell]

Computed properties:
ΔH_f (0 K) = -0.34 eV per atom
N(E_F) = 0.29 states/eV per atom
Offset from the most stable computed form = 0.000 eV per atom


# 7
Computed, not measured: a crystal of Ca5CdCu2 relaxed with PBEsol at the SCAN level of DFT.

Unit cell a=7.796 b=7.796 c=14.469 alpha=90.00 beta=90.00 gamma=90.00
Space group I4/mcm (No. 140)
One atom of each set of equivalent atoms:
Ca1 0.000 0.000 0.000 [4 per cell]
Ca2 0.169 0.331 0.140 [16 per cell]
Cd1 0.000 0.000 0.250 [4 per cell]
Cu1 0.113 0.387 0.500 [8 per cell]

Computed properties:
ΔH_f (0 K) = -0.21 eV per atom
N(E_F) = 0.59 states/eV per atom


# 8
Computed, not measured: a crystal of CsYNb3 relaxed with PBEsol at the SCAN level of DFT.

Unit cell a=5.164 b=5.164 c=5.164 alpha=90.00 beta=90.00 gamma=90.00
Space group Pm-3m (No. 221)
One atom of each set of equivalent atoms:
Cs1 0.000 0.000 0.000 [1 per cell]
Y1 0.500 0.500 0.500 [1 per cell]
Nb1 0.000 0.500 0.500 [3 per cell]

Computed properties:
ΔH_f (0 K) = 2.31 eV per atom
N(E_F) = 1.21 states/eV per atom


# 9
Computed, not measured: a crystal of MnCr2W relaxed with PBEsol at the SCAN level of DFT.

Unit cell a=5.819 b=5.819 c=5.819 alpha=90.00 beta=90.00 gamma=90.00
Space group Fm-3m (No. 225)
One atom of each set of equivalent atoms:
Mn1 0.000 0.000 0.000 [4 per cell]
Cr1 0.250 0.250 0.250 [8 per cell]
W1 0.000 0.000 0.500 [4 per cell]

Computed properties:
ΔH_f (0 K) = -0.02 eV per atom
N(E_F) = 0.74 states/eV per atom
Offset from the most stable computed form = 0.000 eV per atom


# 10
Computed, not measured: a crystal of Nb3NiB relaxed with PBEsol at the SCAN level of DFT.

Unit cell a=4.266 b=4.266 c=4.266 alpha=90.00 beta=90.00 gamma=90.00
Space group Pm-3m (No. 221)
One atom of each set of equivalent atoms:
Nb1 0.000 0.000 0.500 [3 per cell]
Ni1 0.500 0.500 0.500 [1 per cell]
B1 0.000 0.000 0.000 [1 per cell]

Computed properties:
ΔH_f (0 K) = 0.21 eV per atom
N(E_F) = 1.10 states/eV per atom


# 11
Computed, not measured: a crystal of OsSO2 relaxed with PBEsol at the SCAN level of DFT.

Unit cell a=2.8939 b=2.8939 c=19.4301 alpha=90.00 beta=90.00 gamma=120.00
Space group R-3m (No. 166, hexagonal axes)
One atom of each set of equivalent atoms:
Os1 0.0000 0.0000 0.0000 [3 per cell]
S1 0.0000 0.0000 0.5000 [3 per cell]
O1 0.0000 0.0000 0.3975 [6 per cell]

Computed properties:
N(E_F) = 0.58 states/eV per atom
Uncorrected energy = -281.2 eV for the cell shown


# 12
Computed, not measured: a crystal of Cu4SiP8 relaxed with PBEsol at the SCAN level of DFT.

Unit cell a=12.055 b=12.055 c=5.681 alpha=90.00 beta=90.00 gamma=90.00
Space group I4_1/a (No. 88, origin choice 2)
One atom of each set of equivalent atoms:
Cu1 0.008 0.047 0.192 [16 per cell]
Si1 0.000 0.250 0.625 [4 per cell]
P1 0.087 0.133 0.872 [16 per cell]
P2 0.152 0.479 0.605 [16 per cell]

Computed properties:
N(E_F) = 0.00 states/eV per atom
Uncorrected energy = -625.0 eV for the cell shown


# 13
Computed, not measured: a crystal of Li4CaRu relaxed with PBEsol at the SCAN level of DFT.

Unit cell a=7.326 b=7.326 c=7.326 alpha=90.00 beta=90.00 gamma=90.00
Space group F-43m (No. 216)
One atom of each set of equivalent atoms:
Li1 0.121 0.121 0.121 [16 per cell]
Ca1 0.000 0.000 0.500 [4 per cell]
Ru1 0.250 0.250 0.750 [4 per cell]

Computed properties:
ΔH_f (0 K) = 0.27 eV per atom
N(E_F) = 0.16 states/eV per atom


# 14
Computed, not measured: a crystal of ZnH10C4N6Cl2O4 relaxed with PBEsol at the SCAN level of DFT.

Unit cell a=7.985 b=7.307 c=11.489 alpha=90.00 beta=124.03 gamma=90.00
Space group P2_1/c (No. 14)
One atom of each set of equivalent atoms:
Zn1 0.000 0.000 0.000 [2 per cell]
H1 0.090 0.100 0.467 [4 per cell]
H2 0.221 0.072 0.383 [4 per cell]
H3 0.288 0.684 0.838 [4 per cell]
H4 0.330 0.152 0.799 [4 per cell]
H5 0.421 0.566 0.297 [4 per cell]
C1 0.155 0.663 0.946 [4 per cell]
C2 0.237 0.549 0.374 [4 per cell]
N1 0.165 0.018 0.437 [4 per cell]
N2 0.237 0.737 0.388 [4 per cell]
N3 0.334 0.013 0.818 [4 per cell]
Cl1 0.323 0.057 0.239 [4 per cell]
O1 0.076 0.734 0.005 [4 per cell]
O2 0.150 0.061 0.909 [4 per cell]

Computed properties:
N(E_F) = 0.00 states/eV per atom
Uncorrected energy = -408.3 eV for the cell shown


# 15
Computed, not measured: a crystal of SrMnTc2 relaxed with PBEsol at the SCAN level of DFT.

Unit cell a=2.8473 b=2.8473 c=27.9940 alpha=90.00 beta=90.00 gamma=120.00
Space group R-3m (No. 166, hexagonal axes)
One atom of each set of equivalent atoms:
Sr1 0.0000 0.0000 0.0000 [3 per cell]
Mn1 0.0000 0.0000 0.5000 [3 per cell]
Tc1 0.0000 0.0000 0.2343 [6 per cell]

Computed properties:
ΔH_f (0 K) = 0.81 eV per atom
N(E_F) = 0.76 states/eV per atom


# 16
Computed, not measured: a crystal of CdW2Cl relaxed with PBEsol at the SCAN level of DFT.

Unit cell a=3.775 b=3.775 c=9.998 alpha=90.00 beta=90.00 gamma=90.00
Space group I4/mmm (No. 139)
One atom of each set of equivalent atoms:
Cd1 0.000 0.000 0.000 [2 per cell]
W1 0.000 0.500 0.250 [4 per cell]
Cl1 0.000 0.000 0.500 [2 per cell]

Computed properties:
N(E_F) = 0.78 states/eV per atom
Offset from the most stable computed form = 0.598 eV per atom


# 17
Computed, not measured: a crystal of KZrP2 relaxed with PBEsol at the SCAN level of DFT.

Unit cell a=7.381 b=7.384 c=2.788 alpha=90.00 beta=94.32 gamma=90.00
Space group C2/m (No. 12)
One atom of each set of equivalent atoms:
K1 0.000 0.000 0.000 [2 per cell]
Zr1 0.000 0.500 0.000 [2 per cell]
P1 0.250 0.250 0.500 [4 per cell]

Computed properties:
ΔH_f (0 K) = -0.25 eV per atom
N(E_F) = 0.34 states/eV per atom
Offset from the most stable computed form = 0.000 eV per atom


# 18
Computed, not measured: a crystal of Dy2CoTe2S2O14 relaxed with PBEsol at the SCAN level of DFT.

Unit cell a=5.207 b=7.758 c=7.970 alpha=63.02 beta=73.10 gamma=85.10
Space group P-1 (No. 2)
One atom of each set of equivalent atoms:
Dy1 0.066 0.252 0.018 [2 per cell]
Co1 0.000 0.000 0.500 [1 per cell]
Te1 0.500 0.270 0.350 [2 per cell]
S1 0.252 0.752 0.254 [2 per cell]
O1 0.129 0.584 0.257 [2 per cell]
O2 0.140 0.766 0.440 [2 per cell]
O3 0.180 0.924 0.089 [2 per cell]
O4 0.250 0.559 0.889 [2 per cell]
O5 0.260 0.932 0.661 [2 per cell]
O6 0.271 0.190 0.247 [2 per cell]
O7 0.455 0.264 0.781 [2 per cell]

Computed properties:
N(E_F) = 0.00 states/eV per atom
Uncorrected energy = -338.0 eV for the cell shown


# 19
Computed, not measured: a crystal of NaGe2B2 relaxed with PBEsol at the SCAN level of DFT.

Unit cell a=3.921 b=3.921 c=9.094 alpha=90.00 beta=90.00 gamma=90.00
Space group I4/mmm (No. 139)
One atom of each set of equivalent atoms:
Na1 0.000 0.000 0.000 [2 per cell]
Ge1 0.000 0.000 0.362 [4 per cell]
B1 0.000 0.500 0.250 [4 per cell]

Computed properties:
ΔH_f (0 K) = 0.55 eV per atom
N(E_F) = 0.19 states/eV per atom


# 20
Computed, not measured: a crystal of Li4Mn3Cr3Ni2O16 relaxed with PBEsol at the SCAN level of DFT.

Unit cell a=9.617 b=5.660 c=9.396 alpha=90.00 beta=90.38 gamma=90.00
Space group Cm (No. 8)
One atom of each set of equivalent atoms:
Li1 0.000 0.000 0.000 [2 per cell]
Li2 0.001 0.000 0.495 [2 per cell]
Li3 0.165 0.500 0.602 [2 per cell]
Li4 0.337 0.000 0.098 [2 per cell]
Mn1 0.327 0.500 0.278 [2 per cell]
Mn2 0.410 0.246 0.780 [4 per cell]
Cr1 0.091 0.258 0.283 [4 per cell]
Cr2 0.170 0.000 0.781 [2 per cell]
Ni1 0.166 0.500 0.004 [2 per cell]
Ni2 0.336 0.000 0.505 [2 per cell]
O1 0.000 0.000 0.186 [2 per cell]
O2 0.024 0.500 0.159 [2 per cell]
O3 0.080 0.242 0.888 [4 per cell]
O4 0.170 0.000 0.384 [2 per cell]
O5 0.171 0.500 0.399 [2 per cell]
O6 0.244 0.278 0.153 [4 per cell]
O7 0.255 0.222 0.657 [4 per cell]
O8 0.335 0.500 0.891 [2 per cell]
O9 0.337 0.000 0.893 [2 per cell]
O10 0.421 0.255 0.386 [4 per cell]
O11 0.477 0.000 0.661 [2 per cell]
O12 0.493 0.500 0.682 [2 per cell]

Computed properties:
N(E_F) = 0.20 states/eV per atom
Uncorrected energy = -621.3 eV for the cell shown


For reference, density by record: 5.0 6.7 15.7 4.6 16.3 8.2 3.3 6.0 11.6 7.4 9.0 4.3 2.9 2.0 8.6 12.0 4.2 5.6 4.5 4.7 g/cm3.
For reference, total moment by record: 12.0 0.0 0.0 1.0 0.0 0.0 0.0 0.0 3.1 0.0 0.0 0.0 0.0 0.0 6.6 0.0 0.0 3.0 0.0 2.8 μB per cell.